No. 1
KHgBi3 after structural relaxation, computed with PBE.

**E above lowest polymorph**: 0 meV/atom
**Volume**: 358 Å³ per cell
**D(E_F)**: 1.388 states/eV/f.u.
**ΔE_f**: -0.672 eV/f.u.

Unit cell a=6.945 b=7.316 c=7.054 alpha=90.00 beta=90.00 gamma=90.00
Space group Pmn2_1 (No. 31)
Unique sites:
K (0.000, 0.238, 0.000) [2 per cell]
Hg (0.000, 0.906, 0.636) [2 per cell]
Bi (0.000, 0.590, 0.356) [2 per cell]
Bi (0.240, 0.761, 0.007) [4 per cell]



No. 2
ScAsIr after structural relaxation, computed with PBE.

**Volume**: 302 Å³ per cell
**D(E_F)**: 1.825 states/eV/f.u.
**ΔE_f**: -2.836 eV/f.u.

Unit cell a=6.638 b=3.939 c=11.550 alpha=90.00 beta=90.72 gamma=90.00
Space group P2_1/m (No. 11)
Unique sites:
Sc (0.021, 0.250, 0.209) [2 per cell]
Sc (0.339, 0.750, 0.578) [2 per cell]
Sc (0.467, 0.750, 0.883) [2 per cell]
As (0.237, 0.750, 0.084) [2 per cell]
As (0.244, 0.250, 0.417) [2 per cell]
As (0.276, 0.250, 0.751) [2 per cell]
Ir (0.019, 0.250, 0.593) [2 per cell]
Ir (0.156, 0.250, 0.956) [2 per cell]
Ir (0.353, 0.750, 0.295) [2 per cell]



No. 3
RuRh2Cl after structural relaxation, computed with PBE.

**E above lowest polymorph**: 193 meV/atom
**Volume**: 121 Å³ per cell
**ΔE_f (raw)**: 47.1 kJ per mole of atoms
**D(E_F)**: 4.950 states/eV/f.u.

Unit cell a=2.774 b=4.919 c=8.846 alpha=90.00 beta=90.00 gamma=90.00
Space group Cmmm (No. 65)
Unique sites:
Ru (0.000, 0.000, 0.000) [2 per cell]
Rh (0.000, 0.500, 0.253) [4 per cell]
Cl (0.000, 0.000, 0.500) [2 per cell]



No. 4
Ce3NdTh12 after structural relaxation, computed with PBE.

**Volume**: 501 Å³ per cell
**D(E_F)**: 28.475 states/eV/f.u.
**ΔE_f**: 0.452 eV/f.u.

Unit cell a=4.994 b=4.994 c=20.078 alpha=90.00 beta=90.00 gamma=90.00
Space group P4/mmm (No. 123)
Unique sites:
Ce (0.000, 0.000, 0.000) [1 per cell]
Ce (0.000, 0.000, 0.247) [2 per cell]
Nd (0.000, 0.000, 0.500) [1 per cell]
Th (0.000, 0.500, 0.123) [4 per cell]
Th (0.000, 0.500, 0.371) [4 per cell]
Th (0.500, 0.500, 0.000) [1 per cell]
Th (0.500, 0.500, 0.246) [2 per cell]
Th (0.500, 0.500, 0.500) [1 per cell]



No. 5
PrYI4 after structural relaxation, computed with PBE.

**E above lowest polymorph**: 27 meV/atom
**Volume**: 930 Å³ per cell
**ΔE_f (raw)**: -119.5 kJ per mole of atoms
**D(E_F)**: 4.072 states/eV/f.u.

Unit cell a=8.575 b=8.777 c=12.351 alpha=90.00 beta=90.00 gamma=90.00
Space group Imma (No. 74)
Unique sites:
Pr (0.250, 0.250, 0.250) [4 per cell]
Y (0.000, 0.000, 0.000) [4 per cell]
I (0.000, 0.022, 0.750) [8 per cell]
I (0.243, 0.250, 0.510) [8 per cell]



No. 6
FeNiHg2 after structural relaxation, computed with PBE.

**E above lowest polymorph**: 114 meV/atom
**Volume**: 134 Å³ per cell
**D(E_F)**: 3.458 states/eV/f.u.
**ΔE_f**: 1.461 eV/f.u.

Unit cell a=9.984 b=3.034 c=4.702 alpha=90.00 beta=109.30 gamma=90.00
Space group Cm (No. 8)
Unique sites:
Fe (0.000, 0.000, 0.000) [2 per cell]
Ni (0.192, 0.500, 0.243) [2 per cell]
Hg (0.238, 0.000, 0.785) [2 per cell]
Hg (0.452, 0.000, 0.456) [2 per cell]